The following is a DFT calculation (PBE) of VZn3P after structural relaxation.

Output
E_form   115 kJ per mole of atoms
Mass density   3.92 g/cm³
Space-group type   Pm-3m
Crystal system   cubic
N(E_F)   3.1 states/eV/f.u.

Unit cell a=4.903 b=4.903 c=4.903 alpha=90.00 beta=90.00 gamma=90.00
Fractional positions:
V1 0.000 0.000 0.000
Zn1 0.000 0.000 0.500
Zn2 0.000 0.500 0.000
Zn3 0.500 0.000 0.000
P1 0.500 0.500 0.500